P.
The following is a GGA-PBE calculation of an optimized crystal structure of As3Se, from the Alexandria database.

Cell lengths 6.284, 6.284, 9.774 Å; angles 90.00, 90.00, 120.00 degrees
Atoms (fractional coordinates):
As: 0.000 0.500 0.000
As: 0.000 0.500 0.500
As: 0.198 0.396 0.250
As: 0.198 0.802 0.250
As: 0.396 0.198 0.750
As: 0.500 0.000 0.000
As: 0.500 0.000 0.500
As: 0.500 0.500 0.000
As: 0.500 0.500 0.500
As: 0.604 0.802 0.250
As: 0.802 0.198 0.750
As: 0.802 0.604 0.750
Se: 0.000 0.000 0.000
Se: 0.000 0.000 0.500
Se: 0.333 0.667 0.750
Se: 0.667 0.333 0.250

Values from the calculation:
- crystal system = hexagonal
- total magnetic moment (μB/f.u.) = 0.0

***

Q.
The following is a GGA-PBE calculation of an optimized crystal structure of As3Se, from the Alexandria database.

Cell lengths 3.382, 3.382, 6.782 Å; angles 90.00, 90.00, 90.00 degrees
Atoms (fractional coordinates):
As: 0.000 0.000 0.000
As: 0.500 0.500 0.234
As: 0.500 0.500 0.766
Se: 0.000 0.000 0.500

Values from the calculation:
- crystal system = tetragonal
- total magnetic moment (μB/f.u.) = 0.0

***

R.
The following is a GGA-PBE calculation of an optimized crystal structure of As3Se, from the Alexandria database.

Cell lengths 2.886, 2.886, 9.967 Å; angles 90.00, 90.00, 107.49 degrees
Atoms (fractional coordinates):
As: 0.000 0.000 0.000
As: 0.500 0.500 0.231
As: 0.500 0.500 0.769
Se: 0.000 0.000 0.500

Values from the calculation:
- crystal system = orthorhombic
- total magnetic moment (μB/f.u.) = 0.0

***

Relative stability in meV/atom, measured from the most stable structure: P 87; Q 0; R 36

***

P.
The following is a GGA-PBE calculation of an optimized crystal structure of As3Se, from the Alexandria database.

Cell lengths 3.562, 5.591, 5.438 Å; angles 90.00, 90.00, 90.00 degrees
Atoms (fractional coordinates):
As: 0.000 0.000 0.000
As: 0.000 0.500 0.064
As: 0.500 0.500 0.371
Se: 0.500 0.000 0.687

Values from the calculation:
- crystal system = orthorhombic
- total magnetic moment (μB/f.u.) = 0.0

***

Q.
The following is a GGA-PBE calculation of an optimized crystal structure of As3Se, from the Alexandria database.

Cell lengths 6.364, 6.364, 4.888 Å; angles 90.00, 90.00, 120.00 degrees
Atoms (fractional coordinates):
As: 0.140 0.279 0.250
As: 0.140 0.860 0.250
As: 0.279 0.140 0.750
As: 0.721 0.860 0.250
As: 0.860 0.140 0.750
As: 0.860 0.721 0.750
Se: 0.333 0.667 0.750
Se: 0.667 0.333 0.250

Values from the calculation:
- crystal system = hexagonal
- total magnetic moment (μB/f.u.) = 0.0

***

R.
The following is a GGA-PBE calculation of an optimized crystal structure of As3Se, from the Alexandria database.

Cell lengths 7.452, 7.452, 7.452 Å; angles 151.21, 151.21, 41.16 degrees
Atoms (fractional coordinates):
As: 0.000 0.000 0.000
As: 0.250 0.750 0.500
As: 0.750 0.250 0.500
Se: 0.500 0.500 0.000

Values from the calculation:
- crystal system = tetragonal
- total magnetic moment (μB/f.u.) = 0.0

***

S.
The following is a GGA-PBE calculation of an optimized crystal structure of As3Se, from the Alexandria database.

Cell lengths 3.701, 3.701, 7.212 Å; angles 90.00, 90.00, 120.00 degrees
Atoms (fractional coordinates):
As: 0.000 0.000 0.000
As: 0.333 0.667 0.236
As: 0.333 0.667 0.764
Se: 0.000 0.000 0.500

Values from the calculation:
- crystal system = hexagonal
- total magnetic moment (μB/f.u.) = 0.0

***

Relative stability in meV/atom, measured from the most stable structure: P 0; Q 273; R 301; S 98